(1)
The following is a DFT calculation (PBE-GGA) of crystalline LiCoNiP2 at its relaxed geometry.

```
LiCoNiP2
1.0
3.717 0.000 0.000
0.000 3.717 0.000
0.000 0.000 9.232
Li Co Ni P
2 2 2 4
Direct
0.000 0.000 0.000
0.500 0.500 0.500
0.000 0.500 0.250
0.500 0.000 0.750
0.000 0.500 0.750
0.500 0.000 0.250
0.000 0.000 0.382
0.000 0.000 0.618
0.500 0.500 0.118
0.500 0.500 0.882
```

## Properties
Crystal system ... tetragonal
DOS at the Fermi energy ... 4.83 states/eV per cell
Formation energy from the elements ... -621 meV per atom
Space group ... I-4m2, No. 119

(2)
The following is a DFT calculation (PBE-GGA) of crystalline Li3Pr2CoNi12 at its relaxed geometry.

```
Li3Pr2CoNi12
1.0
2.950 1.703 8.655
-2.950 1.703 8.655
0.000 -3.406 8.655
Li Pr Co Ni
3 2 1 12
Direct
0.000 0.500 0.500
0.500 0.000 0.500
0.500 0.500 0.000
0.150 0.150 0.150
0.850 0.850 0.850
0.500 0.500 0.500
0.082 0.082 0.686
0.082 0.686 0.082
0.148 0.571 0.571
0.314 0.918 0.918
0.429 0.429 0.852
0.429 0.852 0.429
0.571 0.148 0.571
0.571 0.571 0.148
0.686 0.082 0.082
0.852 0.429 0.429
0.918 0.314 0.918
0.918 0.918 0.314
```

## Properties
Crystal system ... trigonal
DOS at the Fermi energy ... 25.78 states/eV per cell
Formation energy from the elements ... 202 meV per atom
Space group ... R-3m, No. 166

(3)
The following is a DFT calculation (PBE-GGA) of crystalline LiCoNiRu at its relaxed geometry.

```
LiCoNiRu
1.0
5.799 0.000 0.000
0.000 5.799 0.000
0.000 0.000 5.799
Li Co Ni Ru
4 4 4 4
Direct
0.000 0.000 0.000
0.000 0.500 0.500
0.500 0.000 0.500
0.500 0.500 0.000
0.250 0.250 0.250
0.250 0.750 0.750
0.750 0.250 0.750
0.750 0.750 0.250
0.250 0.250 0.750
0.250 0.750 0.250
0.750 0.250 0.250
0.750 0.750 0.750
0.000 0.000 0.500
0.000 0.500 0.000
0.500 0.000 0.000
0.500 0.500 0.500
```

## Properties
Crystal system ... cubic
DOS at the Fermi energy ... 6.15 states/eV per cell
Formation energy from the elements ... 174 meV per atom
Space group ... F-43m, No. 216

(4)
The following is a DFT calculation (PBE-GGA) of crystalline LiCoNiSb at its relaxed geometry.

```
LiCoNiSb
1.0
5.966 0.000 0.000
0.000 5.966 0.000
0.000 0.000 5.966
Li Co Ni Sb
4 4 4 4
Direct
0.000 0.000 0.000
0.000 0.500 0.500
0.500 0.000 0.500
0.500 0.500 0.000
0.250 0.250 0.250
0.250 0.750 0.750
0.750 0.250 0.750
0.750 0.750 0.250
0.250 0.250 0.750
0.250 0.750 0.250
0.750 0.250 0.250
0.750 0.750 0.750
0.000 0.000 0.500
0.000 0.500 0.000
0.500 0.000 0.000
0.500 0.500 0.500
```

## Properties
Crystal system ... cubic
Uncorrected energy ... -4.93 eV/atom
DOS at the Fermi energy ... 10.31 states/eV per cell
Space group ... F-43m, No. 216

(5)
The following is a DFT calculation (PBE-GGA) of crystalline LiScCoNi at its relaxed geometry.

```
LiScCoNi
1.0
5.980 0.000 0.000
0.000 5.980 0.000
0.000 0.000 5.980
Li Sc Co Ni
4 4 4 4
Direct
0.000 0.000 0.000
0.000 0.500 0.500
0.500 0.000 0.500
0.500 0.500 0.000
0.250 0.250 0.250
0.250 0.750 0.750
0.750 0.250 0.750
0.750 0.750 0.250
0.000 0.000 0.500
0.000 0.500 0.000
0.500 0.000 0.000
0.500 0.500 0.500
0.250 0.250 0.750
0.250 0.750 0.250
0.750 0.250 0.250
0.750 0.750 0.750
```

## Properties
Crystal system ... cubic
DOS at the Fermi energy ... 24.15 states/eV per cell
Formation energy from the elements ... -33 meV per atom
Space group ... F-43m, No. 216

(6)
The following is a DFT calculation (PBE-GGA) of crystalline Li2ScCoNi at its relaxed geometry.

```
Li2ScCoNi
1.0
4.742 0.000 0.000
0.000 4.742 0.000
0.000 0.000 4.252
Li Sc Co Ni
2 1 1 1
Direct
0.000 0.500 0.000
0.500 0.000 0.000
0.000 0.000 0.000
0.500 0.500 0.500
0.000 0.000 0.500
```

## Properties
Crystal system ... tetragonal
DOS at the Fermi energy ... 2.59 states/eV per cell
Energy above the lowest structure with this stoichiometry ... 919 meV/atom
Formation energy from the elements ... 1259 meV per atom
Space group ... P4/mmm, No. 123

(7)
The following is a DFT calculation (PBE-GGA) of crystalline Li2ScCoNi at its relaxed geometry.

```
Li2ScCoNi
1.0
4.168 0.000 0.000
0.000 4.168 0.000
0.000 0.000 4.528
Li Sc Co Ni
2 1 1 1
Direct
0.000 0.500 0.000
0.500 0.000 0.000
0.000 0.000 0.500
0.500 0.500 0.500
0.500 0.500 0.000
```

## Properties
Crystal system ... tetragonal
DOS at the Fermi energy ... 4.10 states/eV per cell
Energy above the lowest structure with this stoichiometry ... 0 meV/atom
Formation energy from the elements ... 341 meV per atom
Space group ... P4/mmm, No. 123

(8)
The following is a DFT calculation (PBE-GGA) of crystalline Li2TaCoNi at its relaxed geometry.

```
Li2TaCoNi
1.0
4.138 0.000 0.000
0.000 4.138 0.000
0.000 0.000 4.562
Li Ta Co Ni
2 1 1 1
Direct
0.000 0.500 0.000
0.500 0.000 0.000
0.000 0.000 0.500
0.000 0.000 0.000
0.500 0.500 0.500
```

## Properties
Crystal system ... tetragonal
DOS at the Fermi energy ... 5.47 states/eV per cell
Energy above the lowest structure with this stoichiometry ... 63 meV/atom
Formation energy from the elements ... 867 meV per atom
Space group ... P4/mmm, No. 123

(9)
The following is a DFT calculation (PBE-GGA) of crystalline Li2TaCoNi at its relaxed geometry.

```
Li2TaCoNi
1.0
3.894 0.000 0.000
0.000 3.894 0.000
0.000 0.000 4.502
Li Ta Co Ni
2 1 1 1
Direct
0.000 0.500 0.000
0.500 0.000 0.000
0.000 0.000 0.500
0.500 0.500 0.500
0.500 0.500 0.000
```

## Properties
Crystal system ... tetragonal
DOS at the Fermi energy ... 5.36 states/eV per cell
Energy above the lowest structure with this stoichiometry ... 0 meV/atom
Formation energy from the elements ... 805 meV per atom
Space group ... P4/mmm, No. 123

(10)
The following is a DFT calculation (PBE-GGA) of crystalline LiCoTcNi at its relaxed geometry.

```
LiCoTcNi
1.0
5.758 0.000 0.000
0.000 5.758 0.000
0.000 0.000 5.758
Li Co Tc Ni
4 4 4 4
Direct
0.000 0.000 0.000
0.000 0.500 0.500
0.500 0.000 0.500
0.500 0.500 0.000
0.250 0.250 0.250
0.250 0.750 0.750
0.750 0.250 0.750
0.750 0.750 0.250
0.000 0.000 0.500
0.000 0.500 0.000
0.500 0.000 0.000
0.500 0.500 0.500
0.250 0.250 0.750
0.250 0.750 0.250
0.750 0.250 0.250
0.750 0.750 0.750
```

## Properties
Crystal system ... cubic
DOS at the Fermi energy ... 19.05 states/eV per cell
Formation energy from the elements ... 200 meV per atom
Space group ... F-43m, No. 216

(11)
The following is a DFT calculation (PBE-GGA) of crystalline LiTiCoNi at its relaxed geometry.

```
LiTiCoNi
1.0
5.776 0.000 0.000
0.000 5.776 0.000
0.000 0.000 5.776
Li Ti Co Ni
4 4 4 4
Direct
0.000 0.000 0.000
0.000 0.500 0.500
0.500 0.000 0.500
0.500 0.500 0.000
0.000 0.000 0.500
0.000 0.500 0.000
0.500 0.000 0.000
0.500 0.500 0.500
0.250 0.250 0.750
0.250 0.750 0.250
0.750 0.250 0.250
0.750 0.750 0.750
0.250 0.250 0.250
0.250 0.750 0.750
0.750 0.250 0.750
0.750 0.750 0.250
```

## Properties
Crystal system ... cubic
DOS at the Fermi energy ... 8.43 states/eV per cell
Formation energy from the elements ... -167 meV per atom
Space group ... F-43m, No. 216

(12)
The following is a DFT calculation (PBE-GGA) of crystalline LiTi2CoNi at its relaxed geometry.

```
LiTi2CoNi
1.0
4.349 0.000 0.000
0.000 4.349 0.000
0.000 0.000 3.682
Li Ti Co Ni
1 2 1 1
Direct
0.000 0.000 0.000
0.000 0.500 0.000
0.500 0.000 0.000
0.500 0.500 0.500
0.000 0.000 0.500
```

## Properties
Crystal system ... tetragonal
DOS at the Fermi energy ... 6.84 states/eV per cell
Formation energy from the elements ... 841 meV per atom
Space group ... P4/mmm, No. 123

Q: Among the records above, which one has the lowest DOS at the Fermi energy?
A: number 6

Q: The lowest DOS at the Fermi energy belongs to which entry?
A: number 6

Q: Which of these has the lowest DOS at the Fermi energy?
A: number 6